# 1
{"formula": "Ce2ErTmTe5", "functional": "PBE", "state": "optimized geometry", "e_form_raw_ev_per_atom": -0.822, "energy_ry_per_atom": -0.3594, "density_g_cm3": 6.1, "space_group": "No. 123", "lattice_angstrom": [[5.471, 0.000, 0.000], [0.000, 5.471, 0.000], [0.000, 0.000, 11.476]], "species": ["Ce", "Ce", "Er", "Tm", "Te", "Te", "Te", "Te", "Te"], "frac_coords": [[0.000, 0.000, 0.185], [0.000, 0.000, 0.815], [0.500, 0.500, 0.500], [0.500, 0.500, 0.000], [0.000, 0.000, 0.500], [0.000, 0.500, 0.000], [0.500, 0.000, 0.000], [0.500, 0.500, 0.255], [0.500, 0.500, 0.745]]}

***

# 2
{"formula": "Ce3Er3TmTe8", "functional": "PBE", "state": "optimized geometry", "e_form_raw_ev_per_atom": -1.350, "energy_ry_per_atom": -0.3986, "density_g_cm3": 7.3, "space_group": "No. 166", "lattice_angstrom": [[4.366, 2.521, 7.254], [-4.366, 2.521, 7.254], [0.000, -5.041, 7.254]], "species": ["Ce", "Ce", "Ce", "Er", "Er", "Er", "Tm", "Te", "Te", "Te", "Te", "Te", "Te", "Te", "Te"], "frac_coords": [[0.000, 0.500, 0.500], [0.500, 0.000, 0.500], [0.500, 0.500, 0.000], [0.000, 0.000, 0.500], [0.000, 0.500, 0.000], [0.500, 0.000, 0.000], [0.500, 0.500, 0.500], [0.240, 0.750, 0.750], [0.245, 0.245, 0.245], [0.250, 0.250, 0.760], [0.250, 0.760, 0.250], [0.750, 0.240, 0.750], [0.750, 0.750, 0.240], [0.755, 0.755, 0.755], [0.760, 0.250, 0.250]]}

***

# 3
{"formula": "Ce3ErTm3Te8", "functional": "PBE", "state": "optimized geometry", "e_form_raw_ev_per_atom": -1.341, "energy_ry_per_atom": -0.3970, "density_g_cm3": 7.4, "space_group": "No. 166", "lattice_angstrom": [[4.359, 2.517, 7.243], [-4.359, 2.517, 7.243], [0.000, -5.033, 7.243]], "species": ["Ce", "Ce", "Ce", "Er", "Tm", "Tm", "Tm", "Te", "Te", "Te", "Te", "Te", "Te", "Te", "Te"], "frac_coords": [[0.000, 0.500, 0.500], [0.500, 0.000, 0.500], [0.500, 0.500, 0.000], [0.500, 0.500, 0.500], [0.000, 0.000, 0.500], [0.000, 0.500, 0.000], [0.500, 0.000, 0.000], [0.238, 0.751, 0.751], [0.245, 0.245, 0.245], [0.249, 0.249, 0.762], [0.249, 0.762, 0.249], [0.751, 0.238, 0.751], [0.751, 0.751, 0.238], [0.755, 0.755, 0.755], [0.762, 0.249, 0.249]]}

***

# 4
{"formula": "Ce3Y3ErTe8", "functional": "PBE", "state": "optimized geometry", "e_form_raw_ev_per_atom": -1.387, "energy_ry_per_atom": -0.4297, "density_g_cm3": 6.4, "space_group": "No. 166", "lattice_angstrom": [[4.392, 2.536, 7.276], [-4.392, 2.536, 7.276], [0.000, -5.072, 7.276]], "species": ["Ce", "Ce", "Ce", "Y", "Y", "Y", "Er", "Te", "Te", "Te", "Te", "Te", "Te", "Te", "Te"], "frac_coords": [[0.000, 0.500, 0.500], [0.500, 0.000, 0.500], [0.500, 0.500, 0.000], [0.000, 0.000, 0.500], [0.000, 0.500, 0.000], [0.500, 0.000, 0.000], [0.500, 0.500, 0.500], [0.243, 0.750, 0.750], [0.247, 0.247, 0.247], [0.250, 0.250, 0.757], [0.250, 0.757, 0.250], [0.750, 0.243, 0.750], [0.750, 0.750, 0.243], [0.753, 0.753, 0.753], [0.757, 0.250, 0.250]]}

***

# 5
{"formula": "CeY2Er3Te6", "functional": "PBE", "state": "optimized geometry", "e_form_raw_ev_per_atom": -1.275, "energy_ry_per_atom": -0.4086, "density_g_cm3": 7.5, "space_group": "No. 12", "lattice_angstrom": [[9.540, -2.165, 0.000], [9.540, 2.165, 0.000], [-2.124, 0.000, 8.541]], "species": ["Ce", "Y", "Y", "Er", "Er", "Er", "Te", "Te", "Te", "Te", "Te", "Te"], "frac_coords": [[0.000, 0.000, 0.000], [0.337, 0.337, 0.673], [0.663, 0.663, 0.327], [0.000, 0.000, 0.500], [0.336, 0.336, 0.167], [0.664, 0.664, 0.833], [0.167, 0.167, 0.585], [0.171, 0.171, 0.082], [0.499, 0.499, 0.260], [0.501, 0.501, 0.740], [0.829, 0.829, 0.918], [0.833, 0.833, 0.415]]}

***

# 6
{"formula": "Ce4YEr3Te8", "functional": "PBE", "state": "optimized geometry", "e_form_raw_ev_per_atom": -1.317, "energy_ry_per_atom": -0.4138, "density_g_cm3": 7.4, "space_group": "No. 166", "lattice_angstrom": [[4.364, 2.520, 7.357], [-4.364, 2.520, 7.357], [0.000, -5.039, 7.357]], "species": ["Ce", "Ce", "Ce", "Ce", "Y", "Er", "Er", "Er", "Te", "Te", "Te", "Te", "Te", "Te", "Te", "Te"], "frac_coords": [[0.000, 0.000, 0.000], [0.000, 0.500, 0.500], [0.500, 0.000, 0.500], [0.500, 0.500, 0.000], [0.500, 0.500, 0.500], [0.000, 0.000, 0.500], [0.000, 0.500, 0.000], [0.500, 0.000, 0.000], [0.244, 0.746, 0.746], [0.245, 0.245, 0.245], [0.254, 0.254, 0.756], [0.254, 0.756, 0.254], [0.746, 0.244, 0.746], [0.746, 0.746, 0.244], [0.755, 0.755, 0.755], [0.756, 0.254, 0.254]]}

***

# 7
{"formula": "Ce2YEr3Te6", "functional": "PBE", "state": "optimized geometry", "e_form_raw_ev_per_atom": -1.290, "energy_ry_per_atom": -0.4064, "density_g_cm3": 7.6, "space_group": "No. 12", "lattice_angstrom": [[9.602, -2.170, 0.000], [9.602, 2.170, 0.000], [-2.227, 0.000, 8.580]], "species": ["Ce", "Ce", "Y", "Er", "Er", "Er", "Te", "Te", "Te", "Te", "Te", "Te"], "frac_coords": [[0.168, 0.168, 0.336], [0.832, 0.832, 0.664], [0.500, 0.500, 0.000], [0.168, 0.168, 0.834], [0.500, 0.500, 0.500], [0.832, 0.832, 0.166], [0.004, 0.004, 0.749], [0.333, 0.333, 0.926], [0.337, 0.337, 0.408], [0.663, 0.663, 0.592], [0.667, 0.667, 0.074], [0.996, 0.996, 0.251]]}

***

# 8
{"formula": "CeEr2Th", "functional": "PBE", "state": "optimized geometry", "e_form_ev_per_atom": 0.05, "e_above_lowest_polymorph_ev_per_atom": 0.000, "energy_ry_per_atom": -0.4095, "density_g_cm3": 9.6, "space_group": "No. 156", "lattice_angstrom": [[3.526, 0.000, 0.000], [-1.763, 3.054, 0.000], [0.000, 0.000, 11.341]], "species": ["Ce", "Er", "Er", "Th"], "frac_coords": [[0.000, 0.000, 0.000], [0.000, 0.000, 0.496], [0.333, 0.667, 0.247], [0.667, 0.333, 0.753]]}